(1)
# ErTmIn2Au4 PBE optimized geometry
# - Total magnetization: 0.000 μB per cell
# - Electronic total energy: -4.12 eV/atom
data_ErTmIn2Au4
_cell_length_a 4.7284
_cell_length_b 4.7284
_cell_length_c 8.9679
_cell_angle_alpha 90.00
_cell_angle_beta 90.00
_cell_angle_gamma 120.00
_space_group_name_H-M_alt 'P -6 m 2'
_space_group_IT_number 187
_space_group_name_Hall 'P -6 2'
loop_
_atom_site_label
_atom_site_type_symbol
_atom_site_fract_x
_atom_site_fract_y
_atom_site_fract_z
_atom_site_occupancy
Er1 Er 0.0000 0.0000 0.0000 1
Tm1 Tm 0.3333 0.6667 0.5000 1
In1 In 0.6667 0.3333 0.2503 1
Au1 Au 0.0000 0.0000 0.3436 1
Au2 Au 0.3333 0.6667 0.1573 1

(2)
# NaLaTeOs PBE optimized geometry
# - Total magnetization: 6.379 μB per cell
# - Polymorph energy (0 for the lowest one): 4.740 kcal/mol of atoms
data_NaLaTeOs
_cell_length_a 7.3714
_cell_length_b 7.3714
_cell_length_c 7.3714
_cell_angle_alpha 90.00
_cell_angle_beta 90.00
_cell_angle_gamma 90.00
_space_group_name_H-M_alt 'F -4 3 m'
_space_group_IT_number 216
_space_group_name_Hall 'F -4 2 3'
loop_
_atom_site_label
_atom_site_type_symbol
_atom_site_fract_x
_atom_site_fract_y
_atom_site_fract_z
_atom_site_occupancy
Na1 Na 0.0000 0.0000 0.0000 1
La1 La 0.0000 0.0000 0.5000 1
Te1 Te 0.2500 0.2500 0.2500 1
Os1 Os 0.2500 0.2500 0.7500 1

(3)
# PmReAsO PBE optimized geometry
# - Total magnetization: 0.007 μB per cell
# - Polymorph energy (0 for the lowest one): 10.150 kcal/mol of atoms
data_PmReAsO
_cell_length_a 3.9928
_cell_length_b 4.4250
_cell_length_c 7.6508
_cell_angle_alpha 90.00
_cell_angle_beta 90.00
_cell_angle_gamma 90.00
_space_group_name_H-M_alt 'P m c 21'
_space_group_IT_number 26
_space_group_name_Hall 'P 2c -2'
loop_
_atom_site_label
_atom_site_type_symbol
_atom_site_fract_x
_atom_site_fract_y
_atom_site_fract_z
_atom_site_occupancy
Pm1 Pm 0.0000 0.2488 0.0000 1
Re1 Re 0.5000 0.2506 0.3336 1
As1 As 0.5000 0.2499 0.6669 1
O1 O 0.0000 0.2512 0.3337 1

(4)
# CdCN2 PBE optimized geometry
# - Electronic total energy: -6.59 eV/atom
data_CdCN2
_cell_length_a 3.5117
_cell_length_b 3.5117
_cell_length_c 9.8334
_cell_angle_alpha 90.00
_cell_angle_beta 90.00
_cell_angle_gamma 120.00
_space_group_name_H-M_alt 'P 63/m m c'
_space_group_IT_number 194
_space_group_name_Hall '-P 6c 2c'
loop_
_atom_site_label
_atom_site_type_symbol
_atom_site_fract_x
_atom_site_fract_y
_atom_site_fract_z
_atom_site_occupancy
Cd1 Cd 0.0000 0.0000 0.0000 1
C1 C 0.3333 0.6667 0.2500 1
N1 N 0.3333 0.6667 0.1246 1

(5)
# GdHoInNi2 PBE optimized geometry
# - Total magnetization: 0.003 μB per cell
# - Electronic total energy: -5.16 eV/atom
data_GdHoInNi2
_cell_length_a 3.7033
_cell_length_b 3.9063
_cell_length_c 14.2208
_cell_angle_alpha 90.00
_cell_angle_beta 90.00
_cell_angle_gamma 90.00
_space_group_name_H-M_alt 'A m m 2'
_space_group_IT_number 38
_space_group_name_Hall 'A 2 -2'
loop_
_atom_site_label
_atom_site_type_symbol
_atom_site_fract_x
_atom_site_fract_y
_atom_site_fract_z
_atom_site_occupancy
Gd1 Gd 0.0000 0.0000 0.0000 1
Ho1 Ho 0.0000 0.0000 0.7243 1
In1 In 0.5000 0.0000 0.3612 1
Ni1 Ni 0.5000 0.0000 0.1646 1
Ni2 Ni 0.5000 0.0000 0.5625 1

(6)
# FeSiHgOs PBE optimized geometry
# - Total magnetization: 13.415 μB per cell
# - Polymorph energy (0 for the lowest one): 7.406 kcal/mol of atoms
data_FeSiHgOs
_cell_length_a 6.2797
_cell_length_b 6.2797
_cell_length_c 6.2797
_cell_angle_alpha 90.00
_cell_angle_beta 90.00
_cell_angle_gamma 90.00
_space_group_name_H-M_alt 'F -4 3 m'
_space_group_IT_number 216
_space_group_name_Hall 'F -4 2 3'
loop_
_atom_site_label
_atom_site_type_symbol
_atom_site_fract_x
_atom_site_fract_y
_atom_site_fract_z
_atom_site_occupancy
Fe1 Fe 0.0000 0.0000 0.0000 1
Si1 Si 0.2500 0.2500 0.7500 1
Hg1 Hg 0.0000 0.0000 0.5000 1
Os1 Os 0.2500 0.2500 0.2500 1

(7)
# NdP2Pd3 PBE optimized geometry
# - Total magnetization: 0.001 μB per cell
# - Electronic total energy: -5.97 eV/atom
data_NdP2Pd3
_cell_length_a 4.1393
_cell_length_b 4.1393
_cell_length_c 7.0287
_cell_angle_alpha 90.00
_cell_angle_beta 90.00
_cell_angle_gamma 120.00
_space_group_name_H-M_alt 'P -3 m 1'
_space_group_IT_number 164
_space_group_name_Hall '-P 3 2"'
loop_
_atom_site_label
_atom_site_type_symbol
_atom_site_fract_x
_atom_site_fract_y
_atom_site_fract_z
_atom_site_occupancy
Nd1 Nd 0.0000 0.0000 0.0000 1
P1 P 0.3333 0.6667 0.2667 1
Pd1 Pd 0.0000 0.0000 0.5000 1
Pd2 Pd 0.3333 0.6667 0.6919 1

(8)
# CoNiSnMo PBE optimized geometry
# - Total magnetization: 0.219 μB per cell
# - Polymorph energy (0 for the lowest one): 0.000 kcal/mol of atoms
data_CoNiSnMo
_cell_length_a 6.1002
_cell_length_b 6.1002
_cell_length_c 6.1002
_cell_angle_alpha 90.00
_cell_angle_beta 90.00
_cell_angle_gamma 90.00
_space_group_name_H-M_alt 'F -4 3 m'
_space_group_IT_number 216
_space_group_name_Hall 'F -4 2 3'
loop_
_atom_site_label
_atom_site_type_symbol
_atom_site_fract_x
_atom_site_fract_y
_atom_site_fract_z
_atom_site_occupancy
Co1 Co 0.0000 0.0000 0.0000 1
Ni1 Ni 0.0000 0.0000 0.5000 1
Sn1 Sn 0.2500 0.2500 0.7500 1
Mo1 Mo 0.2500 0.2500 0.2500 1

(9)
# U2PdPt PBE optimized geometry
# - Total magnetization: 5.513 μB per cell
# - DFT formation energy: 0.112 eV per atom
data_U2PdPt
_cell_length_a 3.8336
_cell_length_b 3.8336
_cell_length_c 7.9943
_cell_angle_alpha 90.00
_cell_angle_beta 90.00
_cell_angle_gamma 120.00
_space_group_name_H-M_alt 'P 3 m 1'
_space_group_IT_number 156
_space_group_name_Hall 'P 3 -2"'
loop_
_atom_site_label
_atom_site_type_symbol
_atom_site_fract_x
_atom_site_fract_y
_atom_site_fract_z
_atom_site_occupancy
U1 U 0.0000 0.0000 0.0000 1
U2 U 0.3333 0.6667 0.4376 1
Pd1 Pd 0.0000 0.0000 0.6493 1
Pt1 Pt 0.6667 0.3333 0.2166 1

(10)
# InCuPdW PBE optimized geometry
# - Total magnetization: 5.153 μB per cell
# - Polymorph energy (0 for the lowest one): 0.000 kcal/mol of atoms
data_InCuPdW
_cell_length_a 6.3623
_cell_length_b 6.3623
_cell_length_c 6.3623
_cell_angle_alpha 90.00
_cell_angle_beta 90.00
_cell_angle_gamma 90.00
_space_group_name_H-M_alt 'F -4 3 m'
_space_group_IT_number 216
_space_group_name_Hall 'F -4 2 3'
loop_
_atom_site_label
_atom_site_type_symbol
_atom_site_fract_x
_atom_site_fract_y
_atom_site_fract_z
_atom_site_occupancy
In1 In 0.0000 0.0000 0.0000 1
Cu1 Cu 0.2500 0.2500 0.2500 1
Pd1 Pd 0.2500 0.2500 0.7500 1
W1 W 0.0000 0.0000 0.5000 1

(11)
# ReF5 PBE optimized geometry
# - Total magnetization: 4.002 μB per cell
# - Polymorph energy (0 for the lowest one): 0.000 kcal/mol of atoms
data_ReF5
_cell_length_a 4.5266
_cell_length_b 5.0488
_cell_length_c 7.0746
_cell_angle_alpha 105.83
_cell_angle_beta 90.25
_cell_angle_gamma 115.25
_space_group_name_H-M_alt 'P -1'
_space_group_IT_number 2
_space_group_name_Hall '-P 1'
loop_
_atom_site_label
_atom_site_type_symbol
_atom_site_fract_x
_atom_site_fract_y
_atom_site_fract_z
_atom_site_occupancy
Re1 Re 0.1128 0.2237 0.2263 1
F1 F 0.0702 0.8078 0.0493 1
F2 F 0.1286 0.6057 0.3523 1
F3 F 0.2801 0.2079 0.4604 1
F4 F 0.3269 0.0007 0.7473 1
F5 F 0.4746 0.6073 0.8572 1

(12)
# HoEr2Sn4Pd4 PBE optimized geometry
# - Total magnetization: 0.003 μB per cell
# - Electronic total energy: -5.39 eV/atom
data_HoEr2Sn4Pd4
_cell_length_a 4.3754
_cell_length_b 7.3897
_cell_length_c 14.6368
_cell_angle_alpha 90.00
_cell_angle_beta 90.00
_cell_angle_gamma 90.00
_space_group_name_H-M_alt 'I m m m'
_space_group_IT_number 71
_space_group_name_Hall '-I 2 2'
loop_
_atom_site_label
_atom_site_type_symbol
_atom_site_fract_x
_atom_site_fract_y
_atom_site_fract_z
_atom_site_occupancy
Ho1 Ho 0.0000 0.0000 0.0000 1
Er1 Er 0.0000 0.5000 0.1288 1
Sn1 Sn 0.0000 0.0000 0.2142 1
Sn2 Sn 0.0000 0.1976 0.5000 1
Pd1 Pd 0.0000 0.2975 0.3228 1